No. 1
An optimized crystal structure of Hf12Sn6Ru, computed with GGA-PBE. Values from VASP.

Properties
E = -8.004 eV per atom
Density = 10.555 g cm⁻³
Symmetry = R-3

Geometry as Quantum ESPRESSO input:
```
&SYSTEM
  ibrav = 0, nat = 19, ntyp = 3
/
ATOMIC_SPECIES
Hf 178.49 Hf.upf
Sn 118.71 Sn.upf
Ru 101.07 Ru.upf
ATOMIC_POSITIONS crystal
Hf 0.786 0.597 0.483
Hf 0.483 0.786 0.597
Hf 0.597 0.483 0.786
Hf 0.214 0.403 0.517
Hf 0.517 0.214 0.403
Hf 0.403 0.517 0.214
Hf 0.065 0.015 0.324
Hf 0.985 0.676 0.935
Hf 0.676 0.935 0.985
Hf 0.935 0.985 0.676
Hf 0.015 0.324 0.065
Hf 0.324 0.065 0.015
Sn 0.667 0.890 0.334
Sn 0.666 0.333 0.110
Sn 0.110 0.666 0.333
Sn 0.333 0.110 0.666
Sn 0.334 0.667 0.890
Sn 0.890 0.334 0.667
Ru 0.000 0.000 0.000
CELL_PARAMETERS angstrom
-3.798 5.846 3.707
-2.289 -6.167 4.367
7.310 1.071 2.786
```

---

No. 2
An optimized crystal structure of PuPaAlGa, computed with GGA-PBE. Values from VASP.

Properties
Energy above the lowest structure with this stoichiometry = 184 meV/atom
Density = 10.892 g cm⁻³
Symmetry = Amm2

Geometry as Quantum ESPRESSO input:
```
&SYSTEM
  ibrav = 0, nat = 4, ntyp = 4
/
ATOMIC_SPECIES
Pu 244.00 Pu.upf
Pa 231.04 Pa.upf
Al 26.98 Al.upf
Ga 69.72 Ga.upf
ATOMIC_POSITIONS crystal
Pu 0.200 0.400 0.000
Pa 0.942 0.883 0.000
Al 0.070 0.140 0.500
Ga 0.801 0.602 0.500
CELL_PARAMETERS angstrom
2.988 0.000 0.000
-1.494 5.323 0.000
0.000 0.000 5.480
```

---

No. 3
An optimized crystal structure of LaAu2C, computed with GGA-PBE. Values from VASP.

Properties
E = -4.800 eV per atom
Density = 9.975 g cm⁻³
Symmetry = I-42d

Geometry as Quantum ESPRESSO input:
```
&SYSTEM
  ibrav = 0, nat = 8, ntyp = 3
/
ATOMIC_SPECIES
C 12.01 C.upf
Au 196.97 Au.upf
La 138.91 La.upf
ATOMIC_POSITIONS crystal
C 0.500 0.500 0.000
C 0.250 0.750 0.500
Au 0.459 0.125 0.250
Au 0.291 0.625 0.250
Au 0.375 0.541 0.750
Au 0.875 0.709 0.750
La 0.000 0.000 0.000
La 0.750 0.250 0.500
CELL_PARAMETERS angstrom
-2.389 -2.384 4.008
4.206 0.843 3.009
-1.631 5.017 5.436
```

---

No. 4
An optimized crystal structure of BeMoSe, computed with GGA-PBE. Values from VASP.

Properties
E_form (uncorrected) = 0.19 eV/atom
Energy above the lowest structure with this stoichiometry = 208 meV/atom
Density = 6.532 g cm⁻³
Symmetry = P3m1

Geometry as Quantum ESPRESSO input:
```
&SYSTEM
  ibrav = 0, nat = 3, ntyp = 3
/
ATOMIC_SPECIES
Be 9.01 Be.upf
Mo 95.94 Mo.upf
Se 78.96 Se.upf
ATOMIC_POSITIONS crystal
Be 0.000 0.000 0.019
Mo 0.667 0.333 0.335
Se 0.333 0.667 0.646
CELL_PARAMETERS angstrom
-0.685 -1.571 -2.521
0.006 -1.395 2.711
-5.610 1.329 0.696
```

---

No. 5
An optimized crystal structure of Li2Ag8Bi, computed with GGA-PBE. Values from VASP.

Properties
E = -2.828 eV per atom
Density = 8.855 g cm⁻³
Symmetry = C2/m

Geometry as Quantum ESPRESSO input:
```
&SYSTEM
  ibrav = 0, nat = 11, ntyp = 3
/
ATOMIC_SPECIES
Li 6.94 Li.upf
Ag 107.87 Ag.upf
Bi 208.98 Bi.upf
ATOMIC_POSITIONS crystal
Li 0.774 0.350 0.548
Li 0.226 0.650 0.452
Ag 0.401 0.532 0.801
Ag 0.686 0.910 0.372
Ag 0.853 0.792 0.705
Ag 0.952 0.286 0.904
Ag 0.147 0.208 0.295
Ag 0.314 0.090 0.628
Ag 0.599 0.468 0.199
Ag 0.048 0.714 0.096
Bi 0.500 0.000 0.000
CELL_PARAMETERS angstrom
-2.603 1.327 3.034
-4.713 -4.110 -2.246
5.174 -4.675 3.560
```

---

No. 6
An optimized crystal structure of V3Ga2Fe, computed with GGA-PBE. Values from VASP.

Properties
E = -7.124 eV per atom
Density = 7.298 g cm⁻³
Symmetry = Cmmm

Geometry as Quantum ESPRESSO input:
```
&SYSTEM
  ibrav = 0, nat = 12, ntyp = 3
/
ATOMIC_SPECIES
V 50.94 V.upf
Ga 69.72 Ga.upf
Fe 55.84 Fe.upf
ATOMIC_POSITIONS crystal
V 0.401 0.660 0.769
V 0.261 0.000 0.239
V 0.599 0.340 0.231
V 0.939 0.660 0.231
V 0.061 0.340 0.769
V 0.739 0.000 0.761
Ga 0.000 0.000 0.000
Ga 0.500 0.000 0.500
Ga 0.167 0.667 0.500
Ga 0.833 0.333 0.500
Fe 0.667 0.667 0.000
Fe 0.333 0.333 0.000
CELL_PARAMETERS angstrom
3.632 -0.001 0.699
1.815 5.666 0.349
2.204 -0.001 8.121
```

---

Question: density of number 3 (LaAu2C)?
Answer: 9.975 g cm⁻³

---

Question: Among the records above, which one has the lowest density?
Answer: BeMoSe

---

Question: What is the density in the fourth record?
Answer: 6.532 g cm⁻³

---

Question: Look up the density of the second one.
Answer: 10.892 g cm⁻³